(1)
{
  "formula": "LiMg2Fe",
  "functional": "PBE-GGA",
  "state": "relaxed",
  "energy_ev_per_cell": -42.36,
  "ef_mev_per_atom": 744,
  "dos_at_fermi_per_ev_atom": 0.751,
  "m_tot_mub_per_cell": 0.00,
  "spacegroup": "I-42d",
  "cell": [[3.9224, 0.0000, 0.0000], [0.0000, 3.9224, 0.0000], [0.0000, 0.0000, 18.3573]],
  "species": ["Li", "Li", "Li", "Li", "Mg", "Mg", "Mg", "Mg", "Mg", "Mg", "Mg", "Mg", "Fe", "Fe", "Fe", "Fe"],
  "frac_coords": [[0.0000, 0.0000, 0.0000], [0.0000, 0.5000, 0.2500], [0.5000, 0.0000, 0.7500], [0.5000, 0.5000, 0.5000], [0.2390, 0.2500, 0.6250], [0.2500, 0.7390, 0.8750], [0.2500, 0.7610, 0.3750], [0.2610, 0.2500, 0.1250], [0.7390, 0.7500, 0.1250], [0.7500, 0.2390, 0.3750], [0.7500, 0.2610, 0.8750], [0.7610, 0.7500, 0.6250], [0.0000, 0.0000, 0.5000], [0.0000, 0.5000, 0.7500], [0.5000, 0.0000, 0.2500], [0.5000, 0.5000, 0.0000]]
}


(2)
{
  "formula": "RbNpAgCl6",
  "functional": "PBE-GGA",
  "state": "relaxed",
  "formation_energy_uncorrected_mev_per_atom": -1484,
  "energy_ev_per_cell": -82.40,
  "dos_at_fermi_per_ev_atom": 0.507,
  "m_tot_mub_per_cell": 6.00,
  "spacegroup": "P-31c",
  "cell": [[7.0045, 0.0000, 0.0000], [-3.5022, 6.0661, 0.0000], [0.0000, 0.0000, 14.7388]],
  "species": ["Rb", "Rb", "Np", "Np", "Ag", "Ag", "Cl", "Cl", "Cl", "Cl", "Cl", "Cl", "Cl", "Cl", "Cl", "Cl", "Cl", "Cl"],
  "frac_coords": [[0.0000, 0.0000, 0.0000], [0.0000, 0.0000, 0.5000], [0.3333, 0.6667, 0.2500], [0.6667, 0.3333, 0.7500], [0.3333, 0.6667, 0.7500], [0.6667, 0.3333, 0.2500], [0.0189, 0.3741, 0.1456], [0.0189, 0.6448, 0.3544], [0.3552, 0.3741, 0.3544], [0.3552, 0.9811, 0.1456], [0.3741, 0.0189, 0.6456], [0.3741, 0.3552, 0.8544], [0.6259, 0.6448, 0.1456], [0.6259, 0.9811, 0.3544], [0.6448, 0.0189, 0.8544], [0.6448, 0.6259, 0.6456], [0.9811, 0.3552, 0.6456], [0.9811, 0.6259, 0.8544]]
}


(3)
{
  "formula": "NaLi3Bi3",
  "functional": "PBE-GGA",
  "state": "relaxed",
  "energy_ev_per_cell": -40.69,
  "relative_energy_mev_per_atom": 0,
  "ef_mev_per_atom": -234,
  "dos_at_fermi_per_ev_atom": 0.485,
  "m_tot_mub_per_cell": 0.00,
  "spacegroup": "R-3",
  "cell": [[4.4777, 2.5852, 5.1860], [-4.4777, 2.5852, 5.1860], [0.0000, -5.1704, 5.1860]],
  "species": ["Na", "Na", "Li", "Li", "Li", "Li", "Li", "Li", "Bi", "Bi", "Bi", "Bi", "Bi", "Bi"],
  "frac_coords": [[0.2367, 0.2367, 0.2367], [0.7633, 0.7633, 0.7633], [0.1638, 0.4565, 0.6284], [0.3717, 0.8362, 0.5435], [0.4565, 0.6283, 0.1638], [0.5435, 0.3717, 0.8362], [0.6283, 0.1638, 0.4565], [0.8362, 0.5435, 0.3717], [0.0647, 0.8326, 0.3468], [0.1674, 0.6532, 0.9353], [0.3468, 0.0647, 0.8326], [0.6532, 0.9353, 0.1674], [0.8326, 0.3468, 0.0647], [0.9353, 0.1674, 0.6532]]
}


(4)
{
  "formula": "Mg6InS8",
  "functional": "PBE-GGA",
  "state": "relaxed",
  "formation_energy_uncorrected_mev_per_atom": -947,
  "energy_ev_per_cell": -59.53,
  "dos_at_fermi_per_ev_atom": 0.471,
  "m_tot_mub_per_cell": 1.05,
  "spacegroup": "R-3",
  "cell": [[5.1383, 2.9666, 4.1995], [-5.1383, 2.9666, 4.1995], [0.0000, -5.9332, 4.1995]],
  "species": ["Mg", "Mg", "Mg", "Mg", "Mg", "Mg", "In", "S", "S", "S", "S", "S", "S", "S", "S"],
  "frac_coords": [[0.1641, 0.4252, 0.6301], [0.3699, 0.8359, 0.5748], [0.4252, 0.6301, 0.1641], [0.5748, 0.3699, 0.8359], [0.6301, 0.1641, 0.4252], [0.8359, 0.5748, 0.3699], [0.0000, 0.0000, 0.0000], [0.1621, 0.6539, 0.3720], [0.1816, 0.1816, 0.1816], [0.3461, 0.6280, 0.8379], [0.3720, 0.1621, 0.6539], [0.6280, 0.8379, 0.3461], [0.6539, 0.3720, 0.1621], [0.8184, 0.8184, 0.8184], [0.8379, 0.3461, 0.6280]]
}


(5)
{
  "formula": "Ca2CeRuN4",
  "functional": "PBE-GGA",
  "state": "relaxed",
  "formation_energy_uncorrected_mev_per_atom": -619,
  "energy_ev_per_cell": -114.93,
  "dos_at_fermi_per_ev_atom": 0.363,
  "m_tot_mub_per_cell": 0.00,
  "spacegroup": "Cmcm",
  "cell": [[1.7258, -5.7545, 0.0000], [1.7258, 5.7545, 0.0000], [0.0000, 0.0000, 11.8401]],
  "species": ["Ca", "Ca", "Ca", "Ca", "Ce", "Ce", "Ru", "Ru", "N", "N", "N", "N", "N", "N", "N", "N"],
  "frac_coords": [[0.1298, 0.8702, 0.5378], [0.1298, 0.8702, 0.9622], [0.8702, 0.1298, 0.0378], [0.8702, 0.1298, 0.4622], [0.3786, 0.6214, 0.7500], [0.6214, 0.3786, 0.2500], [0.3536, 0.6464, 0.2500], [0.6464, 0.3536, 0.7500], [0.0670, 0.9330, 0.7500], [0.2267, 0.7733, 0.1408], [0.2267, 0.7733, 0.3592], [0.5000, 0.5000, 0.0000], [0.5000, 0.5000, 0.5000], [0.7733, 0.2267, 0.6408], [0.7733, 0.2267, 0.8592], [0.9330, 0.0670, 0.2500]]
}


(6)
{
  "formula": "Ca2YRe",
  "functional": "PBE-GGA",
  "state": "relaxed",
  "energy_ev_per_cell": -20.15,
  "relative_energy_mev_per_atom": 306,
  "ef_mev_per_atom": 693,
  "dos_at_fermi_per_ev_atom": 1.231,
  "m_tot_mub_per_cell": 0.99,
  "spacegroup": "P4/mmm",
  "cell": [[3.2107, 0.0000, 0.0000], [0.0000, 3.2107, 0.0000], [0.0000, 0.0000, 10.5668]],
  "species": ["Ca", "Ca", "Y", "Re"],
  "frac_coords": [[0.0000, 0.0000, 0.1967], [0.0000, 0.0000, 0.8033], [0.5000, 0.5000, 0.5000], [0.5000, 0.5000, 0.0000]]
}


(7)
{
  "formula": "K2MoOs",
  "functional": "PBE-GGA",
  "state": "relaxed",
  "energy_ev_per_cell": -57.73,
  "relative_energy_mev_per_atom": 1647,
  "ef_mev_per_atom": 2456,
  "dos_at_fermi_per_ev_atom": 1.373,
  "m_tot_mub_per_cell": 25.53,
  "spacegroup": "Fm-3m",
  "cell": [[7.6508, 0.0000, 0.0000], [0.0000, 7.6508, 0.0000], [0.0000, 0.0000, 7.6508]],
  "species": ["K", "K", "K", "K", "K", "K", "K", "K", "Mo", "Mo", "Mo", "Mo", "Os", "Os", "Os", "Os"],
  "frac_coords": [[0.2500, 0.2500, 0.2500], [0.2500, 0.2500, 0.7500], [0.2500, 0.7500, 0.2500], [0.2500, 0.7500, 0.7500], [0.7500, 0.2500, 0.2500], [0.7500, 0.2500, 0.7500], [0.7500, 0.7500, 0.2500], [0.7500, 0.7500, 0.7500], [0.0000, 0.0000, 0.0000], [0.0000, 0.5000, 0.5000], [0.5000, 0.0000, 0.5000], [0.5000, 0.5000, 0.0000], [0.0000, 0.0000, 0.5000], [0.0000, 0.5000, 0.0000], [0.5000, 0.0000, 0.0000], [0.5000, 0.5000, 0.5000]]
}


(8)
{
  "formula": "KCaSe4",
  "functional": "PBE-GGA",
  "state": "relaxed",
  "formation_energy_uncorrected_mev_per_atom": -420,
  "energy_ev_per_cell": -19.56,
  "dos_at_fermi_per_ev_atom": 0.816,
  "m_tot_mub_per_cell": 0.00,
  "spacegroup": "F-43m",
  "cell": [[0.0000, 4.2572, 4.2572], [4.2572, 0.0000, 4.2572], [4.2572, 4.2572, 0.0000]],
  "species": ["K", "Ca", "Se", "Se", "Se", "Se"],
  "frac_coords": [[0.0000, 0.0000, 0.0000], [0.2500, 0.2500, 0.2500], [0.1262, 0.6246, 0.6246], [0.6246, 0.1262, 0.6246], [0.6246, 0.6246, 0.1262], [0.6246, 0.6246, 0.6246]]
}